# 1
DFT (PBE-GGA) results for a relaxed Cd2IrRu crystal.

```
4
Lattice="4.048 0.000 0.000 0.000 4.048 0.000 0.000 0.000 4.194" Properties=species:S:1:pos:R:3 pbc="T T T"
Cd 0.000 2.024 0.000
Cd 2.024 0.000 0.000
Ir 0.000 0.000 2.097
Ru 2.024 2.024 2.097
```

Formation energy ... 39.34 kJ per mole of atoms
Energy above the most stable polymorph in this dataset ... 315.5 meV per atom
Electronic total energy ... -4.5841 eV/atom



# 2
DFT (PBE-GGA) results for a relaxed CdIrRu2 crystal.

```
8
Lattice="3.900 0.000 0.000 0.000 3.900 0.000 0.000 0.000 8.078" Properties=species:S:1:pos:R:3 pbc="T T T"
Cd 0.000 0.000 0.000
Cd 1.950 1.950 4.039
Ir 0.000 0.000 4.039
Ir 1.950 1.950 0.000
Ru 0.000 1.950 2.020
Ru 0.000 1.950 6.059
Ru 1.950 0.000 2.020
Ru 1.950 0.000 6.059
```

Formation energy ... 36.16 kJ per mole of atoms
Electronic total energy ... -6.7072 eV/atom



# 3
DFT (PBE-GGA) results for a relaxed Cd2IrRu crystal.

```
4
Lattice="2.835 0.000 0.000 0.000 4.747 0.000 -0.295 0.000 5.038" Properties=species:S:1:pos:R:3 pbc="T T T"
Cd 0.615 0.000 1.257
Cd 1.924 0.000 3.781
Ir -0.148 2.373 2.519
Ru 1.417 2.373 0.000
```

Formation energy ... 36.32 kJ per mole of atoms
Energy above the most stable polymorph in this dataset ... 284.2 meV per atom
Electronic total energy ... -4.6154 eV/atom



# 4
DFT (PBE-GGA) results for a relaxed CdIrRu crystal.

```
3
Lattice="4.485 0.000 0.000 -2.243 3.884 0.000 0.000 0.000 2.809" Properties=species:S:1:pos:R:3 pbc="T T T"
Cd 0.000 0.000 0.000
Ir 0.000 2.590 1.404
Ru 2.243 1.295 1.404
```

Formation energy ... 35.30 kJ per mole of atoms
Energy above the most stable polymorph in this dataset ... 259.4 meV per atom
Electronic total energy ... -5.9848 eV/atom



# 5
DFT (PBE-GGA) results for a relaxed Cd2IrRu crystal.

```
8
Lattice="4.183 0.000 0.000 0.000 4.183 0.000 0.000 0.000 7.738" Properties=species:S:1:pos:R:3 pbc="T T T"
Cd 0.000 0.000 0.000
Cd 0.000 2.091 1.934
Cd 2.091 0.000 5.803
Cd 2.091 2.091 3.869
Ir 0.000 2.091 5.803
Ir 2.091 0.000 1.934
Ru 0.000 0.000 3.869
Ru 2.091 2.091 0.000
```

Formation energy ... 36.42 kJ per mole of atoms
Energy above the most stable polymorph in this dataset ... 285.4 meV per atom
Electronic total energy ... -4.6143 eV/atom



# 6
DFT (PBE-GGA) results for a relaxed Cd2IrRu crystal.

```
8
Lattice="2.854 0.000 0.000 0.000 4.813 0.000 0.000 0.000 10.419" Properties=species:S:1:pos:R:3 pbc="T T T"
Cd 0.000 0.000 0.000
Cd 0.000 2.407 2.143
Cd 1.427 0.000 7.352
Cd 1.427 2.407 5.210
Ir 0.000 2.407 7.834
Ir 1.427 0.000 2.624
Ru 0.000 0.000 4.717
Ru 1.427 2.407 9.926
```

Formation energy ... 29.21 kJ per mole of atoms
Energy above the most stable polymorph in this dataset ... 210.6 meV per atom
Electronic total energy ... -4.6890 eV/atom



# 7
DFT (PBE-GGA) results for a relaxed Cd2IrRu crystal.

```
16
Lattice="7.559 0.000 0.000 0.000 7.559 0.000 0.000 0.000 5.250" Properties=species:S:1:pos:R:3 pbc="T T T"
Cd 1.873 1.890 0.656
Cd 1.890 5.652 1.969
Cd 1.890 5.686 4.594
Cd 1.907 1.890 3.281
Cd 5.652 5.669 3.281
Cd 5.669 1.873 4.594
Cd 5.669 1.907 1.969
Cd 5.686 5.669 0.656
Ir 0.000 0.000 0.000
Ir 0.000 3.779 1.312
Ir 3.779 0.000 3.937
Ir 3.779 3.779 2.625
Ru 0.000 0.000 2.625
Ru 0.000 3.779 3.937
Ru 3.779 0.000 1.312
Ru 3.779 3.779 0.000
```

Formation energy ... 76.72 kJ per mole of atoms
Energy above the most stable polymorph in this dataset ... 703.0 meV per atom
Electronic total energy ... -4.1966 eV/atom



# 8
DFT (PBE-GGA) results for a relaxed CdIrRu crystal.

```
12
Lattice="6.094 0.000 0.000 0.000 6.094 0.000 0.000 0.000 6.094" Properties=species:S:1:pos:R:3 pbc="T T T"
Cd 0.000 0.000 0.000
Cd 0.000 3.047 3.047
Cd 3.047 0.000 3.047
Cd 3.047 3.047 0.000
Ir 1.524 1.524 1.524
Ir 1.524 4.571 4.571
Ir 4.571 1.524 4.571
Ir 4.571 4.571 1.524
Ru 0.000 0.000 3.047
Ru 0.000 3.047 0.000
Ru 3.047 0.000 0.000
Ru 3.047 3.047 3.047
```

Formation energy ... 59.28 kJ per mole of atoms
Energy above the most stable polymorph in this dataset ... 507.9 meV per atom
Electronic total energy ... -5.7362 eV/atom



# 9
DFT (PBE-GGA) results for a relaxed Cd2IrRu crystal.

```
4
Lattice="2.868 0.000 0.000 0.000 2.868 0.000 0.000 0.000 8.445" Properties=species:S:1:pos:R:3 pbc="T T T"
Cd 0.000 0.000 0.000
Cd 1.434 1.434 2.542
Ir 0.000 0.000 4.682
Ru 1.434 1.434 6.329
```

Formation energy ... 8.89 kJ per mole of atoms
Energy above the most stable polymorph in this dataset ... 0.0 meV per atom
Electronic total energy ... -4.8996 eV/atom



# 10
DFT (PBE-GGA) results for a relaxed CdIrRu2 crystal.

```
12
Lattice="2.789 0.000 0.000 -1.395 2.415 0.000 0.000 0.000 27.515" Properties=species:S:1:pos:R:3 pbc="T T T"
Cd 0.000 0.000 0.000
Cd 0.000 1.610 18.343
Cd 1.395 0.805 9.171
Ir 0.000 0.000 20.807
Ir 0.000 1.610 11.635
Ir 1.395 0.805 2.464
Ru 0.000 0.000 6.701
Ru 0.000 0.000 13.795
Ru 0.000 1.610 4.623
Ru 0.000 1.610 25.044
Ru 1.395 0.805 15.873
Ru 1.395 0.805 22.966
```

Formation energy ... 20.27 kJ per mole of atoms
Electronic total energy ... -6.8719 eV/atom



# 11
DFT (PBE-GGA) results for a relaxed CdIrRu2 crystal.

```
4
Lattice="2.766 0.000 0.000 0.000 3.832 0.000 0.000 0.000 5.883" Properties=species:S:1:pos:R:3 pbc="T T T"
Cd 0.000 0.000 0.000
Ir 1.383 1.916 1.626
Ru 0.000 0.000 2.975
Ru 1.383 1.916 4.235
```

Formation energy ... 25.85 kJ per mole of atoms
Electronic total energy ... -6.8141 eV/atom



# 12
DFT (PBE-GGA) results for a relaxed CdIrRu2 crystal.

```
8
Lattice="2.799 0.000 0.000 0.000 4.678 0.000 0.000 0.000 9.669" Properties=species:S:1:pos:R:3 pbc="T T T"
Cd 0.000 0.000 0.000
Cd 1.399 2.339 4.835
Ir 0.000 2.339 7.468
Ir 1.399 0.000 2.634
Ru 0.000 0.000 4.883
Ru 0.000 2.339 2.197
Ru 1.399 0.000 7.032
Ru 1.399 2.339 0.048
```

Formation energy ... 38.08 kJ per mole of atoms
Electronic total energy ... -6.6872 eV/atom



# 13
DFT (PBE-GGA) results for a relaxed CdIrRu crystal.

```
12
Lattice="6.076 0.000 0.000 0.000 6.076 0.000 0.000 0.000 6.076" Properties=species:S:1:pos:R:3 pbc="T T T"
Cd 0.000 0.000 0.000
Cd 0.000 3.038 3.038
Cd 3.038 0.000 3.038
Cd 3.038 3.038 0.000
Ir 0.000 0.000 3.038
Ir 0.000 3.038 0.000
Ir 3.038 0.000 0.000
Ir 3.038 3.038 3.038
Ru 1.519 1.519 1.519
Ru 1.519 4.557 4.557
Ru 4.557 1.519 4.557
Ru 4.557 4.557 1.519
```

Formation energy ... 62.95 kJ per mole of atoms
Energy above the most stable polymorph in this dataset ... 545.9 meV per atom
Electronic total energy ... -5.6982 eV/atom



# 14
DFT (PBE-GGA) results for a relaxed CdIrRu2 crystal.

```
8
Lattice="9.207 0.000 0.000 0.000 2.780 0.000 -0.831 0.000 4.861" Properties=species:S:1:pos:R:3 pbc="T T T"
Cd 0.000 0.000 0.000
Cd 4.603 1.390 0.000
Ir -0.416 1.390 2.430
Ir 4.188 0.000 2.430
Ru 1.598 0.000 3.510
Ru 2.174 1.390 1.350
Ru 6.202 1.390 3.510
Ru 6.778 0.000 1.350
```

Formation energy ... 27.94 kJ per mole of atoms
Electronic total energy ... -6.7924 eV/atom



# 15
DFT (PBE-GGA) results for a relaxed CdIrRu2 crystal.

```
4
Lattice="2.778 0.000 0.000 0.000 2.778 0.000 0.000 0.000 8.015" Properties=species:S:1:pos:R:3 pbc="T T T"
Cd 0.000 0.000 0.000
Ir 0.000 0.000 4.007
Ru 1.389 1.389 2.178
Ru 1.389 1.389 5.837
```

Formation energy ... 20.35 kJ per mole of atoms
Electronic total energy ... -6.8711 eV/atom



# 16
DFT (PBE-GGA) results for a relaxed CdIrRu crystal.

```
6
Lattice="2.814 0.000 0.000 0.000 2.814 0.000 0.000 0.000 12.227" Properties=species:S:1:pos:R:3 pbc="T T T"
Cd 0.000 0.000 0.000
Cd 1.407 1.407 6.114
Ir 0.000 0.000 3.885
Ir 1.407 1.407 9.998
Ru 0.000 0.000 8.318
Ru 1.407 1.407 2.205
```

Formation energy ... 10.28 kJ per mole of atoms
Energy above the most stable polymorph in this dataset ... 0.0 meV per atom
Electronic total energy ... -6.2441 eV/atom



# 17
DFT (PBE-GGA) results for a relaxed Cd2IrRu crystal.

```
12
Lattice="2.890 0.000 0.000 -1.445 2.502 0.000 0.000 0.000 27.955" Properties=species:S:1:pos:R:3 pbc="T T T"
Cd 0.000 0.000 6.991
Cd 0.000 0.000 20.964
Cd 0.000 1.668 11.646
Cd 0.000 1.668 25.627
Cd 1.445 0.834 2.328
Cd 1.445 0.834 16.309
Ir 0.000 0.000 0.000
Ir 0.000 1.668 18.637
Ir 1.445 0.834 9.318
Ru 0.000 0.000 13.977
Ru 0.000 1.668 4.659
Ru 1.445 0.834 23.296
```

Formation energy ... 32.44 kJ per mole of atoms
Energy above the most stable polymorph in this dataset ... 244.1 meV per atom
Electronic total energy ... -4.6555 eV/atom



# 18
DFT (PBE-GGA) results for a relaxed CdSnIrRu crystal.

```
16
Lattice="6.461 0.000 0.000 0.000 6.461 0.000 0.000 0.000 6.461" Properties=species:S:1:pos:R:3 pbc="T T T"
Cd 0.000 0.000 0.000
Cd 0.000 3.231 3.231
Cd 3.231 0.000 3.231
Cd 3.231 3.231 0.000
Sn 0.000 0.000 3.231
Sn 0.000 3.231 0.000
Sn 3.231 0.000 0.000
Sn 3.231 3.231 3.231
Ir 1.615 1.615 1.615
Ir 1.615 4.846 4.846
Ir 4.846 1.615 4.846
Ir 4.846 4.846 1.615
Ru 1.615 1.615 4.846
Ru 1.615 4.846 1.615
Ru 4.846 1.615 1.615
Ru 4.846 4.846 4.846
```

Formation energy ... 4.61 kJ per mole of atoms
Electronic total energy ... -5.7159 eV/atom



# 19
DFT (PBE-GGA) results for a relaxed Tb4CdIr2Ru crystal.

```
8
Lattice="2.471 1.427 8.125 -2.471 1.427 8.125 0.000 -2.853 8.125" Properties=species:S:1:pos:R:3 pbc="T T T"
Tb 0.000 0.000 2.895
Tb 0.000 0.000 9.037
Tb 0.000 0.000 15.339
Tb 0.000 0.000 21.481
Cd 0.000 0.000 12.188
Ir 0.000 0.000 6.071
Ir 0.000 0.000 18.304
Ru 0.000 0.000 0.000
```

Formation energy ... -55.20 kJ per mole of atoms
Electronic total energy ... -6.3763 eV/atom



# 20
DFT (PBE-GGA) results for a relaxed Tm4CdIr2Ru crystal.

```
8
Lattice="2.427 1.401 7.968 -2.427 1.401 7.968 0.000 -2.803 7.968" Properties=species:S:1:pos:R:3 pbc="T T T"
Tm 0.000 0.000 2.843
Tm 0.000 0.000 8.861
Tm 0.000 0.000 15.044
Tm 0.000 0.000 21.062
Cd 0.000 0.000 11.952
Ir 0.000 0.000 5.949
Ir 0.000 0.000 17.956
Ru 0.000 0.000 0.000
```

Formation energy ... -64.89 kJ per mole of atoms
Electronic total energy ... -6.3974 eV/atom